# 1
Compound: RbHN2F
Source: the Alexandria database
Functional: PBE-GGA
Structure: optimized geometry

abc: 6.295 6.295 5.050
angles: 90.00 90.00 90.00
Fractional coordinates of all 5 atoms:
1 H 0.500 0.500 0.500
2 N 0.000 0.500 0.000
3 N 0.500 0.000 0.000
4 Rb 0.000 0.000 0.000
5 F 0.000 0.000 0.500

energy relative to the lowest polymorph listed for this composition: 544.9 meV per atom

=====

# 2
Compound: Li17NdMg
Source: the Alexandria database
Functional: PBE-GGA
Structure: optimized geometry

abc: 7.480 7.480 7.480
angles: 79.35 79.35 79.35
Fractional coordinates of all 19 atoms:
1 Li 0.304 0.010 0.690
2 Li 0.690 0.304 0.010
3 Li 0.010 0.690 0.304
4 Li 0.304 0.690 0.010
5 Li 0.010 0.304 0.690
6 Li 0.690 0.010 0.304
7 Li 0.333 0.910 0.333
8 Li 0.333 0.333 0.910
9 Li 0.910 0.333 0.333
10 Li 0.608 0.226 0.608
11 Li 0.608 0.608 0.226
12 Li 0.226 0.608 0.608
13 Li 0.973 0.536 0.973
14 Li 0.973 0.973 0.536
15 Li 0.536 0.973 0.973
16 Li 0.914 0.914 0.914
17 Li 0.095 0.095 0.095
18 Nd 0.663 0.663 0.663
19 Mg 0.323 0.323 0.323

energy of formation: 0.07 eV/atom

=====

# 3
Compound: TlSiO2
Source: the Alexandria database
Functional: PBE-GGA
Structure: optimized geometry

abc: 8.701 8.701 8.701
angles: 18.81 18.81 18.81
Fractional coordinates of all 4 atoms:
1 Tl 0.000 0.000 0.000
2 Si 0.500 0.500 0.500
3 O 0.867 0.867 0.867
4 O 0.133 0.133 0.133

ΔE_f (raw): -1501 meV/atom
energy relative to the lowest polymorph listed for this composition: 89.1 meV per atom

=====

# 4
Compound: MnNb2GaN
Source: the Alexandria database
Functional: PBE-GGA
Structure: optimized geometry

abc: 4.317 4.317 3.801
angles: 90.00 90.00 90.00
Fractional coordinates of all 5 atoms:
1 Nb 0.000 0.500 0.000
2 Nb 0.500 0.000 0.000
3 Mn 0.000 0.000 0.500
4 Ga 0.500 0.500 0.500
5 N 0.000 0.000 0.000

ΔE_f (raw): -474 meV/atom

=====

# 5
Compound: Ac2H2RuO6
Source: the Alexandria database
Functional: PBE-GGA
Structure: optimized geometry

abc: 5.312 5.312 5.912
angles: 63.31 63.31 60.00
Fractional coordinates of all 11 atoms:
1 Ac 0.764 0.764 0.709
2 Ac 0.236 0.236 0.291
3 H 0.416 0.416 0.753
4 H 0.584 0.584 0.247
5 Ru 0.000 0.000 0.000
6 O 0.745 0.745 0.246
7 O 0.264 0.745 0.246
8 O 0.745 0.264 0.246
9 O 0.255 0.736 0.754
10 O 0.736 0.255 0.754
11 O 0.255 0.255 0.754

raw total energy: -6.730 eV/atom

=====

# 6
Compound: LaRe2Se
Source: the Alexandria database
Functional: PBE-GGA
Structure: optimized geometry

abc: 5.157 3.527 4.554
angles: 87.53 90.00 90.00
Fractional coordinates of all 4 atoms:
1 La 0.500 0.750 0.750
2 Re 0.000 0.094 0.008
3 Re 0.000 0.406 0.492
4 Se 0.500 0.250 0.250

ΔE_f (raw): 303 meV/atom